## ScMn2Al (PBE)

Data for a relaxed ScMn2Al crystal. Values from VASP.

The structure in Quantum ESPRESSO input format:
```
&SYSTEM
  ibrav = 0, nat = 4, ntyp = 3
/
ATOMIC_SPECIES
Sc 44.96 Sc.upf
Mn 54.94 Mn.upf
Al 26.98 Al.upf
ATOMIC_POSITIONS crystal
Sc 0.0000 0.0000 0.4714
Mn 0.0000 0.0000 0.0327
Mn 0.5000 0.5000 0.1972
Al 0.5000 0.5000 0.7987
CELL_PARAMETERS angstrom
-2.1245 1.7884 0.5306
-1.8219 -1.8165 -1.1721
-1.0262 -3.1325 6.4497
```

energy of formation	-0.176	eV/atom
magnetization	0.1	μB/f.u.
DOS(E_F)	0.687	states/eV per atom
mass density	5.21	Mg/m³


## Cs3Pu2ScSe6 (PBE)

Data for a relaxed Cs3Pu2ScSe6 crystal. Values from VASP.

The structure in Quantum ESPRESSO input format:
```
&SYSTEM
  ibrav = 0, nat = 12, ntyp = 4
/
ATOMIC_SPECIES
Se 78.96 Se.upf
Pu 244.00 Pu.upf
Cs 132.91 Cs.upf
Sc 44.96 Sc.upf
ATOMIC_POSITIONS crystal
Se 0.9395 0.6197 0.8185
Se 0.7410 0.7410 0.1826
Se 0.2590 0.2590 0.8174
Se 0.3803 0.0605 0.1815
Se 0.6197 0.9395 0.8185
Se 0.0605 0.3803 0.1815
Pu 0.6665 0.3335 0.0000
Pu 0.3335 0.6665 0.0000
Cs 0.1688 0.8312 0.5000
Cs 0.5000 0.5000 0.5000
Cs 0.8312 0.1688 0.5000
Sc 0.0000 0.0000 0.0000
CELL_PARAMETERS angstrom
7.3658 -0.0007 -0.0001
-3.6817 6.3796 -0.0001
-1.2287 -2.1275 8.3270
```

magnetization	10.0	μB/f.u.
DOS(E_F)	1.961	states/eV per atom
mass density	5.96	Mg/m³
raw formation energy	-17.59	eV/f.u.


## K2CeBe2O6 (PBE)

Data for a relaxed K2CeBe2O6 crystal. Values from VASP.

The structure in Quantum ESPRESSO input format:
```
&SYSTEM
  ibrav = 0, nat = 11, ntyp = 4
/
ATOMIC_SPECIES
Be 9.01 Be.upf
K 39.10 K.upf
O 16.00 O.upf
Ce 140.12 Ce.upf
ATOMIC_POSITIONS crystal
Be 0.6667 0.3333 0.1912
Be 0.3333 0.6667 0.8088
K 0.6667 0.3333 0.6706
K 0.3333 0.6667 0.3294
O 0.1541 0.3656 0.7997
O 0.2116 0.8459 0.7997
O 0.6344 0.7884 0.7997
O 0.8459 0.6344 0.2003
O 0.3656 0.2116 0.2003
O 0.7884 0.1541 0.2003
Ce 0.0000 0.0000 0.0000
CELL_PARAMETERS angstrom
-3.4126 -2.7057 3.8290
5.3137 -2.0449 -1.1004
2.3978 3.6810 4.7381
```

magnetization	2.0	μB/f.u.
DOS(E_F)	0.388	states/eV per atom
mass density	2.93	Mg/m³
raw formation energy	-23.00	eV/f.u.


## SrAg2IrF8 (PBE)

Data for a relaxed SrAg2IrF8 crystal. Values from VASP.

The structure in Quantum ESPRESSO input format:
```
&SYSTEM
  ibrav = 0, nat = 12, ntyp = 4
/
ATOMIC_SPECIES
Ag 107.87 Ag.upf
F 19.00 F.upf
Ir 192.22 Ir.upf
Sr 87.62 Sr.upf
ATOMIC_POSITIONS crystal
Ag 0.6667 0.3333 0.1486
Ag 0.3333 0.6667 0.8514
F 0.1614 0.8386 0.1795
F 0.6771 0.8386 0.1795
F 0.3333 0.6667 0.5503
F 0.6667 0.3333 0.4497
F 0.3229 0.1614 0.8205
F 0.1614 0.3229 0.1795
F 0.8386 0.1614 0.8205
F 0.8386 0.6771 0.8205
Ir 0.0000 0.0000 0.0000
Sr 0.0000 0.0000 0.5000
CELL_PARAMETERS angstrom
5.3969 0.0000 0.0000
-2.6984 4.6738 0.0000
0.0000 0.0000 7.1767
```

magnetization	1.1	μB/f.u.
DOS(E_F)	1.032	states/eV per atom
mass density	5.94	Mg/m³
raw formation energy	-21.11	eV/f.u.


## Mn2InMo (PBE)

Data for a relaxed Mn2InMo crystal. Values from VASP.

The structure in Quantum ESPRESSO input format:
```
&SYSTEM
  ibrav = 0, nat = 8, ntyp = 3
/
ATOMIC_SPECIES
Mn 54.94 Mn.upf
In 114.82 In.upf
Mo 95.94 Mo.upf
ATOMIC_POSITIONS crystal
Mn 0.5859 0.1250 0.2500
Mn 0.8750 0.8359 0.7500
Mn 0.1641 0.6250 0.2500
Mn 0.3750 0.4141 0.7500
In 0.0000 0.0000 0.0000
In 0.7500 0.2500 0.5000
Mo 0.5000 0.5000 0.0000
Mo 0.2500 0.7500 0.5000
CELL_PARAMETERS angstrom
-4.8890 4.0042 -3.0909
-4.7359 -5.1337 0.8403
-5.5092 0.4800 1.3304
```

energy of formation	0.716	eV/atom
magnetization	4.0	μB/f.u.
DOS(E_F)	1.137	states/eV per atom
mass density	7.80	Mg/m³


## Ba4AlSi3 (PBE)

Data for a relaxed Ba4AlSi3 crystal. Values from VASP.

The structure in Quantum ESPRESSO input format:
```
&SYSTEM
  ibrav = 0, nat = 8, ntyp = 3
/
ATOMIC_SPECIES
Si 28.09 Si.upf
Al 26.98 Al.upf
Ba 137.33 Ba.upf
ATOMIC_POSITIONS crystal
Si 0.5000 0.0000 0.9367
Si 0.0000 0.0000 0.4475
Si 0.0000 0.5000 0.5594
Al 0.5000 0.5000 0.0504
Ba 0.5000 0.5000 0.3694
Ba 0.5000 0.0000 0.6380
Ba 0.0000 0.5000 0.8534
Ba 0.0000 0.0000 0.1453
CELL_PARAMETERS angstrom
-3.3470 1.5191 3.4791
-2.8803 -2.6516 -1.6131
3.9489 -8.9885 7.7238
```

magnetization	0.0	μB/f.u.
DOS(E_F)	0.621	states/eV per atom
mass density	4.10	Mg/m³
raw formation energy	-2.86	eV/f.u.


## La3Dy2YP6 (PBE)

Data for a relaxed La3Dy2YP6 crystal. Values from VASP.

The structure in Quantum ESPRESSO input format:
```
&SYSTEM
  ibrav = 0, nat = 12, ntyp = 4
/
ATOMIC_SPECIES
P 30.97 P.upf
Dy 162.50 Dy.upf
La 138.91 La.upf
Y 88.91 Y.upf
ATOMIC_POSITIONS crystal
P 0.4125 0.0788 0.2364
P 0.9212 0.5875 0.7636
P 0.2549 0.2549 0.7634
P 0.0788 0.4125 0.2364
P 0.7451 0.7451 0.2366
P 0.5875 0.9212 0.7636
Dy 0.6666 0.3334 0.0000
Dy 0.3334 0.6666 0.0000
La 0.1667 0.8333 0.5000
La 0.5000 0.5000 0.5000
La 0.8333 0.1667 0.5000
Y 0.0000 0.0000 0.0000
CELL_PARAMETERS angstrom
7.1764 -0.0008 0.0009
-3.5872 6.2156 0.0009
-1.1966 -2.0719 6.7641
```

energy of formation	-1.585	eV/atom
magnetization	0.0	μB/f.u.
DOS(E_F)	0.091	states/eV per atom
mass density	5.59	Mg/m³


## Na2HgBiCl6 (PBE)

Data for a relaxed Na2HgBiCl6 crystal. Values from VASP.

The structure in Quantum ESPRESSO input format:
```
&SYSTEM
  ibrav = 0, nat = 10, ntyp = 4
/
ATOMIC_SPECIES
Cl 35.45 Cl.upf
Bi 208.98 Bi.upf
Na 22.99 Na.upf
Hg 200.59 Hg.upf
ATOMIC_POSITIONS crystal
Cl 0.5910 0.2304 0.2428
Cl 0.2301 0.9359 0.2428
Cl 0.1274 0.3970 0.7616
Cl 0.3974 0.7137 0.7616
Cl 0.7141 0.1274 0.7616
Cl 0.9357 0.5914 0.2424
Bi 0.3238 0.3239 0.0284
Na 0.5199 0.5199 0.4402
Na 0.0086 0.0084 0.9746
Hg 0.8136 0.8137 0.5593
CELL_PARAMETERS angstrom
-6.4674 -2.7234 1.5332
-1.4059 -6.9118 -1.3719
-0.5190 -4.8320 6.0616
```

magnetization	0.0	μB/f.u.
DOS(E_F)	0.561	states/eV per atom
mass density	3.78	Mg/m³
raw formation energy	-11.43	eV/f.u.


## YPuIr (PBE)

Data for a relaxed YPuIr crystal. Values from VASP.

The structure in Quantum ESPRESSO input format:
```
&SYSTEM
  ibrav = 0, nat = 12, ntyp = 3
/
ATOMIC_SPECIES
Ir 192.22 Ir.upf
Pu 244.00 Pu.upf
Y 88.91 Y.upf
ATOMIC_POSITIONS crystal
Ir 0.5376 0.0376 0.5000
Ir 0.7124 0.7124 0.0000
Ir 0.9624 0.4624 0.5000
Ir 0.2876 0.2876 0.0000
Pu 0.1250 0.8750 0.7500
Pu 0.1250 0.3750 0.2500
Pu 0.6250 0.8750 0.7500
Pu 0.1250 0.8750 0.2500
Y 0.8802 0.3802 0.7604
Y 0.3698 0.3698 0.7396
Y 0.6198 0.1198 0.2396
Y 0.6302 0.6302 0.2604
CELL_PARAMETERS angstrom
-4.1480 -1.6440 5.4715
4.9026 -2.5572 4.3899
0.5518 8.2765 -2.3707
```

polymorph energy (0 for the lowest one)	17.6	kJ per mole of atoms
energy of formation	-0.373	eV/atom
magnetization	5.7	μB/f.u.
DOS(E_F)	3.218	states/eV per atom
mass density	10.50	Mg/m³


## TlVFe3 (PBE)

Data for a relaxed TlVFe3 crystal. Values from VASP.

The structure in Quantum ESPRESSO input format:
```
&SYSTEM
  ibrav = 0, nat = 5, ntyp = 3
/
ATOMIC_SPECIES
Fe 55.84 Fe.upf
V 50.94 V.upf
Tl 204.38 Tl.upf
ATOMIC_POSITIONS crystal
Fe 0.0000 0.5000 0.0000
Fe 0.5000 0.0000 0.0000
Fe 0.0000 0.0000 0.5000
V 0.5000 0.5000 0.5000
Tl 0.0000 0.0000 0.0000
CELL_PARAMETERS angstrom
-1.3102 -3.8883 2.5388
2.5693 -2.8043 -2.9690
3.8682 0.5456 2.8320
```

polymorph energy (0 for the lowest one)	96.2	kJ per mole of atoms
energy of formation	2.027	eV/atom
magnetization	11.7	μB/f.u.
DOS(E_F)	2.791	states/eV per atom
mass density	6.25	Mg/m³


## Mg2ZrAl (PBE)

Data for a relaxed Mg2ZrAl crystal. Values from VASP.

The structure in Quantum ESPRESSO input format:
```
&SYSTEM
  ibrav = 0, nat = 4, ntyp = 3
/
ATOMIC_SPECIES
Al 26.98 Al.upf
Mg 24.30 Mg.upf
Zr 91.22 Zr.upf
ATOMIC_POSITIONS crystal
Al 0.7500 0.2500 0.5000
Mg 0.0000 0.0000 0.0000
Mg 0.2500 0.7500 0.5000
Zr 0.5000 0.5000 0.0000
CELL_PARAMETERS angstrom
-0.1494 -4.8196 1.8784
3.3435 0.0004 3.9497
-3.9160 3.2465 -0.9511
```

energy of formation	-0.023	eV/atom
magnetization	0.0	μB/f.u.
DOS(E_F)	0.723	states/eV per atom
mass density	3.40	Mg/m³


Please write out number 7 again, unchanged.
## La3Dy2YP6 (PBE)

Data for a relaxed La3Dy2YP6 crystal. Values from VASP.

The structure in Quantum ESPRESSO input format:
```
&SYSTEM
  ibrav = 0, nat = 12, ntyp = 4
/
ATOMIC_SPECIES
P 30.97 P.upf
Dy 162.50 Dy.upf
La 138.91 La.upf
Y 88.91 Y.upf
ATOMIC_POSITIONS crystal
P 0.4125 0.0788 0.2364
P 0.9212 0.5875 0.7636
P 0.2549 0.2549 0.7634
P 0.0788 0.4125 0.2364
P 0.7451 0.7451 0.2366
P 0.5875 0.9212 0.7636
Dy 0.6666 0.3334 0.0000
Dy 0.3334 0.6666 0.0000
La 0.1667 0.8333 0.5000
La 0.5000 0.5000 0.5000
La 0.8333 0.1667 0.5000
Y 0.0000 0.0000 0.0000
CELL_PARAMETERS angstrom
7.1764 -0.0008 0.0009
-3.5872 6.2156 0.0009
-1.1966 -2.0719 6.7641
```

energy of formation	-1.585	eV/atom
magnetization	0.0	μB/f.u.
DOS(E_F)	0.091	states/eV per atom
mass density	5.59	Mg/m³